Entry 1:
LaSm3Dy2Tm6: optimized geometry, GGA-PBE.

Results
ρ = 8.44 g/cm3
crystal system = monoclinic
DFT total energy = -54.9 eV/cell

```
data_LaSm3Dy2Tm6
_symmetry_space_group_name_H-M 'P 1'
_symmetry_Int_Tables_number 1
_symmetry_space_group_name_Hall 'P 1'
_cell_length_a 6.1644
_cell_length_b 6.1644
_cell_length_c 11.7095
_cell_angle_alpha 95.02
_cell_angle_beta 95.02
_cell_angle_gamma 119.97
loop_
_atom_site_label
_atom_site_type_symbol
_atom_site_fract_x
_atom_site_fract_y
_atom_site_fract_z
_atom_site_occupancy
La1 La 0.0000 0.0000 0.0000 1
Sm1 Sm 0.1670 0.8330 0.5000 1
Sm2 Sm 0.5000 0.5000 0.5000 1
Sm3 Sm 0.8330 0.1670 0.5000 1
Dy1 Dy 0.3333 0.6667 0.0000 1
Dy2 Dy 0.6667 0.3333 0.0000 1
Tm1 Tm 0.0840 0.4185 0.2503 1
Tm2 Tm 0.2506 0.2506 0.7496 1
Tm3 Tm 0.4185 0.0840 0.2503 1
Tm4 Tm 0.5815 0.9160 0.7497 1
Tm5 Tm 0.7494 0.7494 0.2504 1
Tm6 Tm 0.9160 0.5815 0.7497 1
```

Entry 2:
Ti2BRu: optimized geometry, GGA-PBE.

Results
ρ = 5.77 g/cm3
crystal system = tetragonal
DFT total energy = -126.7 eV/cell

```
data_Ti2BRu
_symmetry_space_group_name_H-M 'P 1'
_symmetry_Int_Tables_number 1
_symmetry_space_group_name_Hall 'P 1'
_cell_length_a 7.5487
_cell_length_b 7.5487
_cell_length_c 4.1974
_cell_angle_alpha 90.00
_cell_angle_beta 90.00
_cell_angle_gamma 90.00
loop_
_atom_site_label
_atom_site_type_symbol
_atom_site_fract_x
_atom_site_fract_y
_atom_site_fract_z
_atom_site_occupancy
Ti1 Ti 0.1261 0.2500 0.1250 1
Ti2 Ti 0.2500 0.6261 0.3750 1
Ti3 Ti 0.2500 0.8739 0.8750 1
Ti4 Ti 0.3739 0.2500 0.6250 1
Ti5 Ti 0.6261 0.7500 0.6250 1
Ti6 Ti 0.7500 0.1261 0.8750 1
Ti7 Ti 0.7500 0.3739 0.3750 1
Ti8 Ti 0.8739 0.7500 0.1250 1
B1 B 0.0000 0.0000 0.0000 1
B2 B 0.0000 0.5000 0.2500 1
B3 B 0.5000 0.0000 0.7500 1
B4 B 0.5000 0.5000 0.5000 1
Ru1 Ru 0.0000 0.0000 0.5000 1
Ru2 Ru 0.0000 0.5000 0.7500 1
Ru3 Ru 0.5000 0.0000 0.2500 1
Ru4 Ru 0.5000 0.5000 0.0000 1
```

Entry 3:
CeHo2Er: optimized geometry, GGA-PBE.

Results
ρ = 8.72 g/cm3
crystal system = trigonal
DFT total energy = -56.9 eV/cell

```
data_CeHo2Er
_symmetry_space_group_name_H-M 'P 1'
_symmetry_Int_Tables_number 1
_symmetry_space_group_name_Hall 'P 1'
_cell_length_a 3.3864
_cell_length_b 3.3864
_cell_length_c 36.6357
_cell_angle_alpha 90.00
_cell_angle_beta 90.00
_cell_angle_gamma 120.00
loop_
_atom_site_label
_atom_site_type_symbol
_atom_site_fract_x
_atom_site_fract_y
_atom_site_fract_z
_atom_site_occupancy
Ce1 Ce 0.0000 0.0000 0.0000 1
Ce2 Ce 0.3333 0.6667 0.6667 1
Ce3 Ce 0.6667 0.3333 0.3333 1
Ho1 Ho 0.0000 0.0000 0.0889 1
Ho2 Ho 0.0000 0.0000 0.9111 1
Ho3 Ho 0.3333 0.6667 0.5778 1
Ho4 Ho 0.3333 0.6667 0.7556 1
Ho5 Ho 0.6667 0.3333 0.2444 1
Ho6 Ho 0.6667 0.3333 0.4222 1
Er1 Er 0.0000 0.0000 0.5000 1
Er2 Er 0.3333 0.6667 0.1667 1
Er3 Er 0.6667 0.3333 0.8333 1
```

Entry 4:
ZrAlTcRu: optimized geometry, GGA-PBE.

Results
ρ = 8.31 g/cm3
crystal system = cubic
DFT total energy = -134.9 eV/cell

```
data_ZrAlTcRu
_symmetry_space_group_name_H-M 'P 1'
_symmetry_Int_Tables_number 1
_symmetry_space_group_name_Hall 'P 1'
_cell_length_a 6.3295
_cell_length_b 6.3295
_cell_length_c 6.3295
_cell_angle_alpha 90.00
_cell_angle_beta 90.00
_cell_angle_gamma 90.00
loop_
_atom_site_label
_atom_site_type_symbol
_atom_site_fract_x
_atom_site_fract_y
_atom_site_fract_z
_atom_site_occupancy
Zr1 Zr 0.0000 0.0000 0.0000 1
Zr2 Zr 0.0000 0.5000 0.5000 1
Zr3 Zr 0.5000 0.0000 0.5000 1
Zr4 Zr 0.5000 0.5000 0.0000 1
Al1 Al 0.0000 0.0000 0.5000 1
Al2 Al 0.0000 0.5000 0.0000 1
Al3 Al 0.5000 0.0000 0.0000 1
Al4 Al 0.5000 0.5000 0.5000 1
Tc1 Tc 0.2500 0.2500 0.7500 1
Tc2 Tc 0.2500 0.7500 0.2500 1
Tc3 Tc 0.7500 0.2500 0.2500 1
Tc4 Tc 0.7500 0.7500 0.7500 1
Ru1 Ru 0.2500 0.2500 0.2500 1
Ru2 Ru 0.2500 0.7500 0.7500 1
Ru3 Ru 0.7500 0.2500 0.7500 1
Ru4 Ru 0.7500 0.7500 0.2500 1
```

Entry 5:
La2NdHoSc: optimized geometry, GGA-PBE.

Results
ρ = 5.99 g/cm3
crystal system = orthorhombic
DFT total energy = -47.5 eV/cell

```
data_La2NdHoSc
_symmetry_space_group_name_H-M 'P 1'
_symmetry_Int_Tables_number 1
_symmetry_space_group_name_Hall 'P 1'
_cell_length_a 7.1178
_cell_length_b 7.1178
_cell_length_c 7.3010
_cell_angle_alpha 90.00
_cell_angle_beta 90.00
_cell_angle_gamma 108.80
loop_
_atom_site_label
_atom_site_type_symbol
_atom_site_fract_x
_atom_site_fract_y
_atom_site_fract_z
_atom_site_occupancy
La1 La 0.1991 0.1991 0.0000 1
La2 La 0.1991 0.1991 0.5000 1
La3 La 0.8009 0.8009 0.0000 1
La4 La 0.8009 0.8009 0.5000 1
Nd1 Nd 0.2301 0.7699 0.7500 1
Nd2 Nd 0.7699 0.2301 0.2500 1
Ho1 Ho 0.2467 0.7533 0.2500 1
Ho2 Ho 0.7533 0.2467 0.7500 1
Sc1 Sc 0.4883 0.5117 0.7500 1
Sc2 Sc 0.5117 0.4883 0.2500 1
```

Entry 6:
Zr2ScAgMo: optimized geometry, GGA-PBE.

Results
ρ = 5.63 g/cm3
crystal system = tetragonal
DFT total energy = -33.7 eV/cell

```
data_Zr2ScAgMo
_symmetry_space_group_name_H-M 'P 1'
_symmetry_Int_Tables_number 1
_symmetry_space_group_name_Hall 'P 1'
_cell_length_a 4.9082
_cell_length_b 4.9082
_cell_length_c 5.2755
_cell_angle_alpha 90.00
_cell_angle_beta 90.00
_cell_angle_gamma 90.00
loop_
_atom_site_label
_atom_site_type_symbol
_atom_site_fract_x
_atom_site_fract_y
_atom_site_fract_z
_atom_site_occupancy
Zr1 Zr 0.0000 0.5000 0.0000 1
Zr2 Zr 0.5000 0.0000 0.0000 1
Sc1 Sc 0.0000 0.0000 0.5000 1
Ag1 Ag 0.5000 0.5000 0.5000 1
Mo1 Mo 0.5000 0.5000 0.0000 1
```

Entry 7:
Ni2TeIr: optimized geometry, GGA-PBE.

Results
ρ = 12.51 g/cm3
crystal system = monoclinic
DFT total energy = -45.0 eV/cell

```
data_Ni2TeIr
_symmetry_space_group_name_H-M 'P 1'
_symmetry_Int_Tables_number 1
_symmetry_space_group_name_Hall 'P 1'
_cell_length_a 8.5683
_cell_length_b 3.9137
_cell_length_c 3.8779
_cell_angle_alpha 90.00
_cell_angle_beta 116.77
_cell_angle_gamma 90.00
loop_
_atom_site_label
_atom_site_type_symbol
_atom_site_fract_x
_atom_site_fract_y
_atom_site_fract_z
_atom_site_occupancy
Ni1 Ni 0.2490 0.0000 0.2488 1
Ni2 Ni 0.2510 0.5000 0.7512 1
Ni3 Ni 0.7490 0.5000 0.2488 1
Ni4 Ni 0.7510 0.0000 0.7512 1
Te1 Te 0.0000 0.0000 0.5000 1
Te2 Te 0.5000 0.5000 0.5000 1
Ir1 Ir 0.0000 0.5000 0.0000 1
Ir2 Ir 0.5000 0.0000 0.0000 1
```

Entry 8:
Ho3Si3Ir2: optimized geometry, GGA-PBE.

Results
ρ = 10.45 g/cm3
crystal system = orthorhombic
DFT total energy = -111.5 eV/cell

```
data_Ho3Si3Ir2
_symmetry_space_group_name_H-M 'P 1'
_symmetry_Int_Tables_number 1
_symmetry_space_group_name_Hall 'P 1'
_cell_length_a 5.6013
_cell_length_b 5.6013
_cell_length_c 13.9527
_cell_angle_alpha 90.00
_cell_angle_beta 90.00
_cell_angle_gamma 135.60
loop_
_atom_site_label
_atom_site_type_symbol
_atom_site_fract_x
_atom_site_fract_y
_atom_site_fract_z
_atom_site_occupancy
Ho1 Ho 0.0832 0.9168 0.6122 1
Ho2 Ho 0.0832 0.9168 0.8878 1
Ho3 Ho 0.3620 0.6380 0.7500 1
Ho4 Ho 0.6380 0.3620 0.2500 1
Ho5 Ho 0.9168 0.0832 0.1122 1
Ho6 Ho 0.9168 0.0832 0.3878 1
Si1 Si 0.3340 0.6660 0.2500 1
Si2 Si 0.3798 0.6202 0.5355 1
Si3 Si 0.3798 0.6202 0.9645 1
Si4 Si 0.6202 0.3798 0.0355 1
Si5 Si 0.6202 0.3798 0.4645 1
Si6 Si 0.6660 0.3340 0.7500 1
Ir1 Ir 0.2018 0.7982 0.0972 1
Ir2 Ir 0.2018 0.7982 0.4028 1
Ir3 Ir 0.7982 0.2018 0.5972 1
Ir4 Ir 0.7982 0.2018 0.9028 1
```